1.
Computed, not measured: a geometry-optimized Pm2PrHoTm structure at the GGA-PBE level of DFT.

The space group is Cmcm (No. 63) and the conventional cell measures 8.447, 11.615 and 7.276 Å, with angles of 90.00, 90.00 and 90.00 degrees. The distinct sites, in fractional coordinates, are Pm at (0.192, 0.000, 0.000), Pr at (0.000, 0.227, 0.250), Ho at (0.000, 0.495, 0.250) and Tm at (0.000, 0.228, 0.750).

The calculation puts the magnetization at 0.0 Bohr magnetons per cell. The calculation puts the total energy at -85.54 eV per cell.

---

2.
Computed, not measured: a geometry-optimized LiAcPdAu structure at the GGA-PBE level of DFT.

The space group is R3m (No. 160, hexagonal axes) and the conventional cell measures 4.5071, 4.5071 and 15.7305 Å, with angles of 90.00, 90.00 and 120.00 degrees. The distinct sites, in fractional coordinates, are Li at (0.0000, 0.0000, 0.0000), Ac at (0.0000, 0.0000, 0.4960), Pd at (0.0000, 0.0000, 0.7101) and Au at (0.0000, 0.0000, 0.2884).

The calculation puts the magnetization at 0.0 Bohr magnetons per cell. The polymorph energy (0 for the lowest one) comes out at 0 meV per atom.

---

3.
Computed, not measured: a geometry-optimized LiHfTaBe2 structure at the GGA-PBE level of DFT.

The space group is P4/mmm (No. 123) and the conventional cell measures 4.028, 4.028 and 4.472 Å, with angles of 90.00, 90.00 and 90.00 degrees. The distinct sites, in fractional coordinates, are Li at (0.000, 0.000, 0.000), Hf at (0.000, 0.000, 0.500), Ta at (0.500, 0.500, 0.500) and Be at (0.000, 0.500, 0.000).

The calculation puts the magnetization at 0.0 Bohr magnetons per cell. The calculation puts the total energy at -26.95 eV per cell.

---

Please write out number 3 again, unchanged.
Computed, not measured: a geometry-optimized LiHfTaBe2 structure at the GGA-PBE level of DFT.

The space group is P4/mmm (No. 123) and the conventional cell measures 4.028, 4.028 and 4.472 Å, with angles of 90.00, 90.00 and 90.00 degrees. The distinct sites, in fractional coordinates, are Li at (0.000, 0.000, 0.000), Hf at (0.000, 0.000, 0.500), Ta at (0.500, 0.500, 0.500) and Be at (0.000, 0.500, 0.000).

The calculation puts the magnetization at 0.0 Bohr magnetons per cell. The calculation puts the total energy at -26.95 eV per cell.

---

What did the third record say?
Computed, not measured: a geometry-optimized LiHfTaBe2 structure at the GGA-PBE level of DFT.

The space group is P4/mmm (No. 123) and the conventional cell measures 4.028, 4.028 and 4.472 Å, with angles of 90.00, 90.00 and 90.00 degrees. The distinct sites, in fractional coordinates, are Li at (0.000, 0.000, 0.000), Hf at (0.000, 0.000, 0.500), Ta at (0.500, 0.500, 0.500) and Be at (0.000, 0.500, 0.000).

The calculation puts the magnetization at 0.0 Bohr magnetons per cell. The calculation puts the total energy at -26.95 eV per cell.